# 1
Ba3Pa2N5F2 | Alexandria via LeMat-Bulk | GGA-PBE | relaxed; symmetry = I4/mmm; crystal system = tetragonal
1.0
4.414 0.000 0.000
0.000 4.414 0.000
-2.207 -2.207 11.839
Pa F Ba N
2 2 3 5
Direct
0.593 0.593 0.186
0.407 0.407 0.814
0.705 0.705 0.410
0.295 0.295 0.590
0.000 0.000 0.000
0.821 0.821 0.642
0.179 0.179 0.358
0.395 0.895 0.789
0.500 0.500 0.000
0.605 0.105 0.211
0.895 0.395 0.789
0.105 0.605 0.211

# 2
Ba5PaN4F2 | Alexandria via LeMat-Bulk | GGA-PBE | relaxed; symmetry = Amm2; crystal system = orthorhombic
1.0
-5.389 -3.044 -2.152
2.005 -0.782 6.061
-4.448 6.264 2.280
Pa N Ba F
1 4 5 2
Direct
0.406 0.000 0.000
0.053 0.669 0.000
0.385 0.331 0.000
0.611 0.000 0.219
0.611 0.000 0.781
0.717 0.645 0.774
0.072 0.355 0.774
0.406 0.000 0.500
0.072 0.355 0.226
0.717 0.645 0.226
0.968 0.578 0.500
0.390 0.422 0.500

Number 1: raw formation energy -1860 meV per atom. Number 2: raw formation energy -1529 meV per atom.